The following is a PBE calculation of a relaxed structure of CeDy5Mg6, from Alexandria via LeMat-Bulk.

abc: 8.480 8.480 7.574
angles: 90.00 90.00 143.09
Element x y z (fractional)
Ce1 0.000 0.000 0.000
Dy1 0.000 0.000 0.500
Dy2 0.333 0.667 0.000
Dy3 0.336 0.664 0.500
Dy4 0.664 0.336 0.500
Dy5 0.667 0.333 0.000
Mg1 0.168 0.832 0.252
Mg2 0.168 0.832 0.748
Mg3 0.500 0.500 0.251
Mg4 0.500 0.500 0.749
Mg5 0.832 0.168 0.252
Mg6 0.832 0.168 0.748

Computed properties:
Raw total energy ... -3.2633 eV/atom
E_form ... -0.647 eV/f.u.
Total moment ... 1.017 μB per formula unit
SG ... Cmmm, No. 65



The following is a PBE calculation of a relaxed structure of CeDyMgOs, from Alexandria via LeMat-Bulk.

abc: 5.031 5.031 5.031
angles: 60.00 60.00 60.00
Element x y z (fractional)
Ce1 0.000 0.000 0.000
Dy1 0.500 0.500 0.500
Mg1 0.250 0.250 0.250
Os1 0.750 0.750 0.750

Computed properties:
Raw total energy ... -5.9134 eV/atom
E_form ... -0.293 eV/f.u.
Total moment ... 0.000 μB per formula unit
SG ... F-43m, No. 216



The following is a PBE calculation of a relaxed structure of CeDyMgPb, from Alexandria via LeMat-Bulk.

abc: 5.426 5.426 5.426
angles: 60.00 60.00 60.00
Element x y z (fractional)
Ce1 0.000 0.000 0.000
Dy1 0.500 0.500 0.500
Mg1 0.250 0.250 0.250
Pb1 0.750 0.750 0.750

Computed properties:
Raw total energy ... -4.1782 eV/atom
E_form ... -0.874 eV/f.u.
Total moment ... 1.249 μB per formula unit
SG ... F-43m, No. 216



The following is a PBE calculation of a relaxed structure of CeDyMgPd, from Alexandria via LeMat-Bulk.

abc: 5.183 5.183 5.183
angles: 60.00 60.00 60.00
Element x y z (fractional)
Ce1 0.000 0.000 0.000
Dy1 0.500 0.500 0.500
Mg1 0.750 0.750 0.750
Pd1 0.250 0.250 0.250

Computed properties:
Raw total energy ... -4.6026 eV/atom
E_form ... -1.087 eV/f.u.
Total moment ... 0.743 μB per formula unit
SG ... F-43m, No. 216



The following is a PBE calculation of a relaxed structure of CePmDyMg, from Alexandria via LeMat-Bulk.

abc: 5.549 5.549 5.549
angles: 60.00 60.00 60.00
Element x y z (fractional)
Ce1 0.000 0.000 0.000
Pm1 0.250 0.250 0.250
Dy1 0.500 0.500 0.500
Mg1 0.750 0.750 0.750

Computed properties:
Raw total energy ... -4.1006 eV/atom
E_form ... 0.479 eV/f.u.
Total moment ... 1.650 μB per formula unit
SG ... F-43m, No. 216



The following is a PBE calculation of a relaxed structure of CePrDyMg, from Alexandria via LeMat-Bulk.

abc: 5.560 5.560 5.560
angles: 60.00 60.00 60.00
Element x y z (fractional)
Ce1 0.000 0.000 0.000
Pr1 0.750 0.750 0.750
Dy1 0.250 0.250 0.250
Mg1 0.500 0.500 0.500

Computed properties:
Raw total energy ... -4.0837 eV/atom
E_form ... 0.575 eV/f.u.
Total moment ... 1.008 μB per formula unit
SG ... F-43m, No. 216



The following is a PBE calculation of a relaxed structure of CeDyMgPt, from Alexandria via LeMat-Bulk.

abc: 5.141 5.141 5.141
angles: 60.00 60.00 60.00
Element x y z (fractional)
Ce1 0.000 0.000 0.000
Dy1 0.500 0.500 0.500
Mg1 0.250 0.250 0.250
Pt1 0.750 0.750 0.750

Computed properties:
Raw total energy ... -5.0113 eV/atom
E_form ... -1.874 eV/f.u.
Total moment ... 0.737 μB per formula unit
SG ... F-43m, No. 216



The following is a PBE calculation of a relaxed structure of CeDyMgRe, from Alexandria via LeMat-Bulk.

abc: 5.047 5.047 5.047
angles: 60.00 60.00 60.00
Element x y z (fractional)
Ce1 0.000 0.000 0.000
Dy1 0.500 0.500 0.500
Mg1 0.250 0.250 0.250
Re1 0.750 0.750 0.750

Computed properties:
Raw total energy ... -6.0249 eV/atom
E_form ... 0.479 eV/f.u.
Total moment ... 0.002 μB per formula unit
SG ... F-43m, No. 216



The following is a PBE calculation of a relaxed structure of CeDyMgRh, from Alexandria via LeMat-Bulk.

abc: 5.092 5.092 5.092
angles: 60.00 60.00 60.00
Element x y z (fractional)
Ce1 0.000 0.000 0.000
Dy1 0.500 0.500 0.500
Mg1 0.250 0.250 0.250
Rh1 0.750 0.750 0.750

Computed properties:
Raw total energy ... -5.1613 eV/atom
E_form ... -1.163 eV/f.u.
Total moment ... 0.620 μB per formula unit
SG ... F-43m, No. 216



The following is a PBE calculation of a relaxed structure of CeDyMg2Rh4, from Alexandria via LeMat-Bulk.

abc: 8.052 8.052 8.052
angles: 33.77 33.77 33.77
Element x y z (fractional)
Ce1 0.000 0.000 0.000
Dy1 0.500 0.500 0.500
Mg1 0.247 0.247 0.247
Mg2 0.753 0.753 0.753
Rh1 0.122 0.122 0.122
Rh2 0.374 0.374 0.374
Rh3 0.626 0.626 0.626
Rh4 0.878 0.878 0.878

Computed properties:
Raw total energy ... -6.1026 eV/atom
E_form ... -5.690 eV/f.u.
Total moment ... 0.000 μB per formula unit
SG ... R-3m, No. 166



The following is a PBE calculation of a relaxed structure of CeDyMgRu, from Alexandria via LeMat-Bulk.

abc: 5.049 5.049 5.049
angles: 60.00 60.00 60.00
Element x y z (fractional)
Ce1 0.000 0.000 0.000
Dy1 0.500 0.500 0.500
Mg1 0.750 0.750 0.750
Ru1 0.250 0.250 0.250

Computed properties:
Raw total energy ... -5.4732 eV/atom
E_form ... -0.486 eV/f.u.
Total moment ... 0.033 μB per formula unit
SG ... F-43m, No. 216



The following is a PBE calculation of a relaxed structure of CeDy2MgS6, from Alexandria via LeMat-Bulk.

abc: 7.255 7.255 7.255
angles: 56.31 56.31 56.31
Element x y z (fractional)
Ce1 0.000 0.000 0.000
Dy1 0.202 0.202 0.202
Dy2 0.701 0.701 0.701
Mg1 0.499 0.499 0.499
S1 0.113 0.397 0.788
S2 0.297 0.888 0.605
S3 0.397 0.788 0.113
S4 0.605 0.297 0.888
S5 0.788 0.113 0.397
S6 0.888 0.605 0.297

Computed properties:
Raw total energy ... -5.9446 eV/atom
Total moment ... 0.000 μB per formula unit
SG ... R3, No. 146



The following is a PBE calculation of a relaxed structure of CeDyMgSc, from Alexandria via LeMat-Bulk.

abc: 5.384 5.384 5.384
angles: 60.00 60.00 60.00
Element x y z (fractional)
Ce1 0.000 0.000 0.000
Dy1 0.500 0.500 0.500
Mg1 0.750 0.750 0.750
Sc1 0.250 0.250 0.250

Computed properties:
Raw total energy ... -4.5478 eV/atom
E_form ... 0.271 eV/f.u.
Total moment ... 1.374 μB per formula unit
SG ... F-43m, No. 216



The following is a PBE calculation of a relaxed structure of CeSmDyMg, from Alexandria via LeMat-Bulk.

abc: 5.519 5.519 5.519
angles: 60.00 60.00 60.00
Element x y z (fractional)
Ce1 0.000 0.000 0.000
Sm1 0.750 0.750 0.750
Dy1 0.250 0.250 0.250
Mg1 0.500 0.500 0.500

Computed properties:
Raw total energy ... -4.0660 eV/atom
E_form ... 0.586 eV/f.u.
Total moment ... 1.022 μB per formula unit
SG ... F-43m, No. 216



The following is a PBE calculation of a relaxed structure of CeDyMgSn, from Alexandria via LeMat-Bulk.

abc: 5.357 5.357 5.357
angles: 60.00 60.00 60.00
Element x y z (fractional)
Ce1 0.000 0.000 0.000
Dy1 0.500 0.500 0.500
Mg1 0.250 0.250 0.250
Sn1 0.750 0.750 0.750

Computed properties:
Raw total energy ... -4.3733 eV/atom
E_form ... -1.360 eV/f.u.
Total moment ... 1.133 μB per formula unit
SG ... F-43m, No. 216



The following is a PBE calculation of a relaxed structure of TbCeDyMg, from Alexandria via LeMat-Bulk.

abc: 5.492 5.492 5.492
angles: 60.00 60.00 60.00
Element x y z (fractional)
Tb1 0.000 0.000 0.000
Ce1 0.250 0.250 0.250
Dy1 0.500 0.500 0.500
Mg1 0.750 0.750 0.750

Computed properties:
Raw total energy ... -4.0391 eV/atom
E_form ... 0.604 eV/f.u.
Total moment ... 1.173 μB per formula unit
SG ... F-43m, No. 216



The following is a PBE calculation of a relaxed structure of CeDyThMg, from Alexandria via LeMat-Bulk.

abc: 5.506 5.506 5.506
angles: 60.00 60.00 60.00
Element x y z (fractional)
Ce1 0.000 0.000 0.000
Dy1 0.500 0.500 0.500
Th1 0.750 0.750 0.750
Mg1 0.250 0.250 0.250

Computed properties:
Raw total energy ... -4.7089 eV/atom
E_form ... 0.715 eV/f.u.
Total moment ... 0.874 μB per formula unit
SG ... F-43m, No. 216



The following is a PBE calculation of a relaxed structure of CeDyMgTi, from Alexandria via LeMat-Bulk.

abc: 5.249 5.249 5.249
angles: 60.00 60.00 60.00
Element x y z (fractional)
Ce1 0.000 0.000 0.000
Dy1 0.500 0.500 0.500
Mg1 0.250 0.250 0.250
Ti1 0.750 0.750 0.750

Computed properties:
Raw total energy ... -4.8468 eV/atom
E_form ... 0.638 eV/f.u.
Total moment ... 2.422 μB per formula unit
SG ... F-43m, No. 216



The following is a PBE calculation of a relaxed structure of CeDyMgZr, from Alexandria via LeMat-Bulk.

abc: 5.312 5.312 5.312
angles: 60.00 60.00 60.00
Element x y z (fractional)
Ce1 0.000 0.000 0.000
Dy1 0.500 0.500 0.500
Mg1 0.750 0.750 0.750
Zr1 0.250 0.250 0.250

Computed properties:
Raw total energy ... -5.0362 eV/atom
E_form ... 0.534 eV/f.u.
Total moment ... 0.855 μB per formula unit
SG ... F-43m, No. 216



The following is a PBE calculation of a relaxed structure of CeDyMn17, from Alexandria via LeMat-Bulk.

abc: 6.311 6.311 6.311
angles: 86.30 86.30 86.30
Element x y z (fractional)
Ce1 0.000 0.000 0.000
Dy1 0.291 0.291 0.291
Mn1 0.002 0.002 0.525
Mn2 0.002 0.525 0.002
Mn3 0.146 0.642 0.642
Mn4 0.287 0.287 0.773
Mn5 0.287 0.773 0.287
Mn6 0.371 0.644 0.918
Mn7 0.371 0.918 0.644
Mn8 0.525 0.002 0.002
Mn9 0.546 0.546 0.546
Mn10 0.642 0.146 0.642
Mn11 0.642 0.642 0.146
Mn12 0.644 0.371 0.918
Mn13 0.644 0.918 0.371
Mn14 0.746 0.746 0.746
Mn15 0.773 0.287 0.287
Mn16 0.918 0.371 0.644
Mn17 0.918 0.644 0.371

Computed properties:
Raw total energy ... -8.7447 eV/atom
E_form ... 0.270 eV/f.u.
Total moment ... 5.007 μB per formula unit
SG ... R3m, No. 160



The following is a PBE calculation of a relaxed structure of Ce2DyMn, from Alexandria via LeMat-Bulk.

abc: 8.686 8.686 8.686
angles: 25.31 25.31 25.31
Element x y z (fractional)
Ce1 0.000 0.000 0.000
Ce2 0.223 0.223 0.223
Dy1 0.775 0.775 0.775
Mn1 0.637 0.637 0.637

Computed properties:
Raw total energy ... -6.1976 eV/atom
Relative energy among the computed polymorphs ... 0.04 eV/f.u.
E_form ... 0.849 eV/f.u.
Total moment ... 1.185 μB per formula unit
SG ... R3m, No. 160



The following is a PBE calculation of a relaxed structure of CeDy2Mn, from Alexandria via LeMat-Bulk.

abc: 11.406 11.406 11.406
angles: 16.77 16.77 16.77
Element x y z (fractional)
Ce1 0.000 0.000 0.000
Dy1 0.417 0.417 0.417
Dy2 0.583 0.583 0.583
Mn1 0.500 0.500 0.500

Computed properties:
Raw total energy ... -5.5584 eV/atom
Relative energy among the computed polymorphs ... 1.43 eV/f.u.
E_form ... 2.074 eV/f.u.
Total moment ... 2.995 μB per formula unit
SG ... R-3m, No. 166



The following is a PBE calculation of a relaxed structure of CeDyMn, from Alexandria via LeMat-Bulk.

abc: 6.777 6.777 6.777
angles: 151.74 151.74 40.39
Element x y z (fractional)
Ce1 0.000 0.000 0.000
Dy1 0.257 0.257 0.000
Mn1 0.617 0.617 0.000

Computed properties:
Raw total energy ... -6.3805 eV/atom
Relative energy among the computed polymorphs ... 0.11 eV/f.u.
E_form ... 0.564 eV/f.u.
Total moment ... 0.000 μB per formula unit
SG ... I4mm, No. 107



The following is a PBE calculation of a relaxed structure of Ce2DyMn, from Alexandria via LeMat-Bulk.

abc: 3.459 3.459 8.447
angles: 90.00 90.00 90.00
Element x y z (fractional)
Ce1 0.000 0.000 0.200
Ce2 0.000 0.000 0.800
Dy1 0.500 0.500 0.500
Mn1 0.500 0.500 0.000

Computed properties:
Raw total energy ... -6.2074 eV/atom
Relative energy among the computed polymorphs ... 0.00 eV/f.u.
E_form ... 0.810 eV/f.u.
Total moment ... 0.840 μB per formula unit
SG ... P4/mmm, No. 123



The following is a PBE calculation of a relaxed structure of CeDyMn, from Alexandria via LeMat-Bulk.

abc: 5.129 5.709 5.805
angles: 74.07 63.93 63.39
Element x y z (fractional)
Ce1 0.114 0.179 0.093
Ce2 0.886 0.821 0.907
Dy1 0.324 0.549 0.302
Dy2 0.676 0.451 0.698
Mn1 0.351 0.099 0.698
Mn2 0.649 0.901 0.302

Computed properties:
Raw total energy ... -6.4168 eV/atom
Relative energy among the computed polymorphs ... 0.00 eV/f.u.
E_form ... 0.455 eV/f.u.
Total moment ... 0.001 μB per formula unit
SG ... P-1, No. 2



The following is a PBE calculation of a relaxed structure of Ce2DyMn, from Alexandria via LeMat-Bulk.

abc: 9.110 9.110 9.110
angles: 23.17 23.17 23.17
Element x y z (fractional)
Ce1 0.225 0.225 0.225
Ce2 0.775 0.775 0.775
Dy1 0.000 0.000 0.000
Mn1 0.500 0.500 0.500

Computed properties:
Raw total energy ... -6.1606 eV/atom
Relative energy among the computed polymorphs ... 0.19 eV/f.u.
E_form ... 0.997 eV/f.u.
Total moment ... 0.000 μB per formula unit
SG ... R-3m, No. 166



The following is a PBE calculation of a relaxed structure of CeDy2Mn, from Alexandria via LeMat-Bulk.

abc: 3.477 3.477 8.770
angles: 90.00 90.00 90.00
Element x y z (fractional)
Ce1 0.000 0.000 0.000
Dy1 0.500 0.500 0.300
Dy2 0.500 0.500 0.700
Mn1 0.000 0.000 0.500

Computed properties:
Raw total energy ... -5.9147 eV/atom
Relative energy among the computed polymorphs ... 0.00 eV/f.u.
E_form ... 0.649 eV/f.u.
Total moment ... 4.548 μB per formula unit
SG ... P4/mmm, No. 123



The following is a PBE calculation of a relaxed structure of Ce2DyMnN4, from Alexandria via LeMat-Bulk.

abc: 5.983 5.983 11.732
angles: 90.00 90.00 147.34
Element x y z (fractional)
Ce1 0.134 0.866 0.551
Ce2 0.134 0.866 0.949
Ce3 0.866 0.134 0.051
Ce4 0.866 0.134 0.449
Dy1 0.387 0.613 0.750
Dy2 0.613 0.387 0.250
Mn1 0.348 0.652 0.250
Mn2 0.652 0.348 0.750
N1 0.060 0.940 0.750
N2 0.228 0.772 0.135
N3 0.228 0.772 0.365
N4 0.500 0.500 0.000
N5 0.500 0.500 0.500
N6 0.772 0.228 0.635
N7 0.772 0.228 0.865
N8 0.940 0.060 0.250

Computed properties:
Raw total energy ... -8.4828 eV/atom
Total moment ... 0.586 μB per formula unit
SG ... Cmcm, No. 63